Material: Nd3SmBi4
Method: DFT, GGA-PBE
State: relaxed

Properties
* N(E_F): 2.3 states/eV/cell
* ΔH_f (0 K): -0.94 eV/atom
* uncorrected energy: -84.188 eV/cell

```
data_Nd3SmBi4
_space_group_name_H-M_alt 'C m m m'
_space_group_IT_number 65
_space_group_name_Hall '-C 2 2'
_cell_length_a 9.192
_cell_length_b 13.000
_cell_length_c 4.600
_cell_angle_alpha 90.00
_cell_angle_beta 90.00
_cell_angle_gamma 90.00
loop_
_atom_site_label
_atom_site_fract_x
_atom_site_fract_y
_atom_site_fract_z
_atom_site_occupancy
Nd1 0.000 0.000 0.000 1
Nd2 0.250 0.250 0.500 1
Sm1 0.000 0.500 0.000 1
Bi1 0.000 0.251 0.000 1
Bi2 0.248 0.500 0.500 1
```